No. 1
A plane-wave DFT calculation with PBE was carried out for a geometry-optimized Sr2Li2MgCd structure.

Computed properties:
For the energy of formation from the pure elements, the calculation gives -92 meV/atom. Its crystal system is orthorhombic. The calculation puts the density of states at the Fermi level at 21.1 states/eV/cell.

a b c (Å): 6.787 16.417 6.844
angles (deg): 90.00 90.00 90.00
Space group Ibam (No. 72)
Symmetry-distinct sites (fractional):
Sr  0.250  0.166  0.000 x8
Li  0.236  0.101  0.500 x8
Mg  0.000  0.500  0.250 x4
Cd  0.000  0.000  0.250 x4

No. 2
A plane-wave DFT calculation with PBE was carried out for a geometry-optimized YPuMg2 structure.

Computed properties:
For the energy of formation from the pure elements, the calculation gives 70 meV/atom. Its crystal system is tetragonal. The calculation puts the density of states at the Fermi level at 8.1 states/eV/cell.

a b c (Å): 5.415 5.415 3.714
angles (deg): 90.00 90.00 90.00
Space group P4/mmm (No. 123)
Symmetry-distinct sites (fractional):
Y  0.000  0.000  0.000 x1
Pu  0.500  0.500  0.000 x1
Mg  0.000  0.500  0.500 x2

No. 3
A plane-wave DFT calculation with PBE was carried out for a geometry-optimized NbGeMo3 structure.

Computed properties:
For the energy of formation from the pure elements, the calculation gives 1201 meV/atom. Its crystal system is cubic. The calculation puts the density of states at the Fermi level at 5.7 states/eV/cell.

a b c (Å): 4.578 4.578 4.578
angles (deg): 90.00 90.00 90.00
Space group Pm-3m (No. 221)
Symmetry-distinct sites (fractional):
Nb  0.000  0.000  0.000 x1
Ge  0.500  0.500  0.500 x1
Mo  0.000  0.500  0.500 x3

No. 4
A plane-wave DFT calculation with PBE was carried out for a geometry-optimized BaV2Mo structure.

Computed properties:
For the energy of formation from the pure elements, the calculation gives 1241 meV/atom. Its crystal system is tetragonal. The calculation puts the density of states at the Fermi level at 24.2 states/eV/cell.

a b c (Å): 5.311 5.311 16.213
angles (deg): 90.00 90.00 90.00
Space group I4_1/amd (No. 141, origin choice 2)
Symmetry-distinct sites (fractional):
Ba  0.000  0.250  0.375 x4
V  0.000  0.000  0.000 x8
Mo  0.000  0.250  0.875 x4

No. 5
A plane-wave DFT calculation with PBE was carried out for a geometry-optimized CaAl2O4 structure.

Computed properties:
Its crystal system is orthorhombic. As for the raw formation energy: -2.879 eV/atom. The calculation puts the density of states at the Fermi level at 0.0 states/eV/cell.

a b c (Å): 5.013 8.419 8.281
angles (deg): 90.00 90.00 90.00
Space group Cccm (No. 66)
Symmetry-distinct sites (fractional):
Ca  0.000  0.000  0.250 x4
Al  0.001  0.275  0.000 x8
O  0.220  0.099  0.500 x8
O  0.250  0.250  0.155 x8

No. 6
A plane-wave DFT calculation with PBE was carried out for a geometry-optimized Co2TeS structure.

Computed properties:
Its crystal system is cubic. As for the raw formation energy: 0.372 eV/atom. The calculation puts the density of states at the Fermi level at 18.4 states/eV/cell.

a b c (Å): 6.154 6.154 6.154
angles (deg): 90.00 90.00 90.00
Space group Fm-3m (No. 225)
Symmetry-distinct sites (fractional):
Co  0.250  0.250  0.250 x8
Te  0.000  0.000  0.000 x4
S  0.000  0.000  0.500 x4

Copy entry 1 word for word.
A plane-wave DFT calculation with PBE was carried out for a geometry-optimized Sr2Li2MgCd structure.

Computed properties:
For the energy of formation from the pure elements, the calculation gives -92 meV/atom. Its crystal system is orthorhombic. The calculation puts the density of states at the Fermi level at 21.1 states/eV/cell.

a b c (Å): 6.787 16.417 6.844
angles (deg): 90.00 90.00 90.00
Space group Ibam (No. 72)
Symmetry-distinct sites (fractional):
Sr  0.250  0.166  0.000 x8
Li  0.236  0.101  0.500 x8
Mg  0.000  0.500  0.250 x4
Cd  0.000  0.000  0.250 x4